No. 1
An optimized crystal structure of Ga4Ag6Sn. Source: Alexandria, functional GGA-PBE.

```
11
Lattice="-3.4161 3.4161 4.9932 3.4161 -3.4161 4.9932 3.4161 3.4161 -4.9932" Properties=species:S:1:pos:R:3 pbc="T T T"
Ga 1.7958 -1.7958 3.4304
Ga 1.6203 1.6203 1.5628
Ga -1.7958 1.7958 3.4304
Ga 1.7958 1.7958 6.5560
Ag 3.4161 0.0000 0.0000
Ag 1.0406 1.0406 -1.1003
Ag 2.3755 -2.3755 6.0935
Ag 0.0000 3.4161 0.0000
Ag 2.3755 2.3755 3.8929
Ag -2.3755 2.3755 6.0935
Sn 0.0000 0.0000 4.9932
```

Results
space-group type	I-42m, No. 121
E_form	127	meV/atom


No. 2
An optimized crystal structure of Na2NpAgTe4. Source: Alexandria, functional GGA-PBE.

```
8
Lattice="7.6943 0.0000 0.0000 0.0000 4.3531 0.0000 -2.8618 0.0000 7.4598" Properties=species:S:1:pos:R:3 pbc="T T T"
Na 0.0000 0.0000 0.0000
Na 3.8472 2.1765 0.0000
Np -1.4309 2.1765 3.7299
Ag 2.4162 0.0000 3.7299
Te -0.3804 0.0000 5.5655
Te 1.2481 2.1765 2.2272
Te 3.5844 2.1765 5.2326
Te 5.2128 0.0000 1.8943
```

Results
formation energy (no corrections)	-53.9	kJ/mol of atoms
space-group type	P2/m, No. 10